1.
DFT (PBE) results for a relaxed structure of SrGa2CuPt.

Values from the calculation:
calculated formation energy: -0.55 eV/atom

Cell lengths 6.0300, 6.0300, 6.0300 Å; angles 136.91, 136.91, 62.57 degrees
Element x y z (fractional)
Sr: 0.0000 0.0000 0.0000
Ga: 0.3679 0.3679 0.0000
Ga: 0.6321 0.6321 0.0000
Cu: 0.7500 0.2500 0.5000
Pt: 0.2500 0.7500 0.5000

---

2.
DFT (PBE) results for a relaxed structure of Tb2Ga4CuPt3.

Values from the calculation:
calculated formation energy: -0.84 eV/atom

Cell lengths 4.1297, 4.1297, 10.8951 Å; angles 90.00, 90.00, 90.00 degrees
Element x y z (fractional)
Tb: 0.0000 0.5000 0.2495
Tb: 0.5000 0.0000 0.7505
Ga: 0.0000 0.0000 0.0000
Ga: 0.0000 0.5000 0.6302
Ga: 0.5000 0.0000 0.3698
Ga: 0.5000 0.5000 0.0000
Cu: 0.0000 0.0000 0.5000
Pt: 0.0000 0.5000 0.8587
Pt: 0.5000 0.0000 0.1413
Pt: 0.5000 0.5000 0.5000